Compound: LaPmPdSe3
Source: Alexandria
Functional: PBE
Structure: optimized geometry

## Properties
- D(E_F): 0.71 states/eV/f.u.
- Formation energy without anion corrections: -950 kJ/mol of formula units
- Calculated volume: 25.78 A^3/atom

```
LaPmPdSe3
1.0
-2.570 -1.860 -2.606
-3.237 -4.370 6.309
-5.341 7.572 -0.137
La Se Pm Pd
2 6 2 2
direct
0.750 0.817 0.739
0.250 0.183 0.261
0.750 0.253 0.504
0.250 0.585 0.844
0.250 0.747 0.496
0.750 0.415 0.156
0.250 0.084 0.872
0.750 0.916 0.128
0.750 0.321 0.820
0.250 0.679 0.180
0.750 0.906 0.404
0.250 0.094 0.596
```